1.
# ZrTaCo2B

A relaxed ZrTaCo2B crystal (PBE-GGA, the Alexandria database).

Properties
SG = P4/mmm
ΔH_f (0 K) = 1588 meV per atom

Structure (POSCAR):
```
ZrTaCo2B
1.0
-3.761 -0.454 2.264
0.956 -4.109 0.764
2.089 1.175 3.706
B Zr Co Ta
1 1 2 1
Cartesian
0.478 -2.054 0.382
0.000 0.000 0.000
1.044 0.587 1.853
-1.881 -0.227 1.132
-0.358 -1.694 3.367
```

2.
# MnSiTe2

A relaxed MnSiTe2 crystal (PBE-GGA, the Alexandria database).

Properties
SG = F-43m

Structure (POSCAR):
```
MnSiTe2
1.0
-3.949 -3.119 -0.289
0.430 -4.392 -2.434
0.010 -4.325 2.588
Si Mn Te
1 1 2
Cartesian
-2.632 -8.877 -0.102
-1.755 -5.918 -0.068
0.000 0.000 0.000
-0.877 -2.959 -0.034
```

3.
# Ba2CdHg9

A relaxed Ba2CdHg9 crystal (PBE-GGA, the Alexandria database).

Properties
SG = R-3m
ΔH_f (0 K) = -192 meV per atom

Structure (POSCAR):
```
Ba2CdHg9
1.0
-5.644 -3.395 -0.946
-0.157 -6.563 1.088
-4.399 -1.753 9.140
Hg Ba Cd
9 2 1
Cartesian
-6.642 -3.764 6.333
-3.558 -7.947 2.949
-6.445 -6.281 1.880
-5.100 -5.856 4.641
-3.755 -5.430 7.402
-3.896 -6.621 0.199
-3.476 -4.495 2.377
-6.724 -7.216 6.905
-6.304 -5.091 9.083
-6.788 -9.331 3.780
-3.412 -2.380 5.501
0.000 0.000 0.000
```

4.
# Sr3AgHg6Pb2

A relaxed Sr3AgHg6Pb2 crystal (PBE-GGA, the Alexandria database).

Properties
SG = P-3m1
ΔH_f (0 K) = -279 meV per atom

Structure (POSCAR):
```
Sr3AgHg6Pb2
1.0
6.302 0.000 0.000
-3.151 5.457 0.000
0.000 0.000 10.140
Hg Pb Ag Sr
6 2 1 3
Cartesian
-1.526 4.519 2.766
3.151 3.581 7.374
1.526 4.519 2.766
0.000 1.876 2.766
4.677 0.938 7.374
1.625 0.938 7.374
0.000 3.638 9.772
3.151 1.819 0.368
0.000 0.000 5.070
0.000 3.638 6.004
0.000 0.000 0.000
3.151 1.819 4.136
```

Going through the records in order, we get D(E_F) values of 6.68; 5.16; 7.84; 5.45 states/eV per cell.
Going through the records in order, we get raw total energy values of -33.3; -18.1; -9.8; -20.5 eV for the cell shown.